No. 1
Below is Cs2In5Sn3 after structural relaxation, with properties calculated at the PBE level.

Size of the total moment = 0.00 μB/cell
ΔE_f = -1.5 eV per formula unit
Energy above the most stable polymorph in this dataset = 15 meV/atom

a = 5.313 Å, b = 5.313 Å, c = 12.156 Å
α = 90.00°, β = 90.00°, γ = 90.00°
Space group P-4m2 (No. 115)
Symmetry-distinct sites (fractional):
Cs (0.000, 0.500, 0.247) (multiplicity 2)
In (0.000, 0.000, 0.500) (multiplicity 1)
In (0.000, 0.500, 0.627) (multiplicity 2)
In (0.500, 0.500, 0.000) (multiplicity 1)
In (0.500, 0.500, 0.500) (multiplicity 1)
Sn (0.000, 0.000, 0.000) (multiplicity 1)
Sn (0.000, 0.500, 0.874) (multiplicity 2)



No. 2
Below is Cs3In4Sn2 after structural relaxation, with properties calculated at the PBE level.

Size of the total moment = 0.00 μB/cell
ΔE_f = -0.9 eV per formula unit

a = 14.849 Å, b = 5.239 Å, c = 10.707 Å
α = 90.00°, β = 115.66°, γ = 90.00°
Space group C2/m (No. 12)
Symmetry-distinct sites (fractional):
Cs (0.000, 0.000, 0.000) (multiplicity 2)
Cs (0.117, 0.500, 0.358) (multiplicity 4)
In (0.093, 0.000, 0.638) (multiplicity 4)
In (0.203, 0.500, 0.051) (multiplicity 4)
Sn (0.200, 0.500, 0.764) (multiplicity 4)



No. 3
Below is CsIn3Sn2 after structural relaxation, with properties calculated at the PBE level.

Size of the total moment = 0.00 μB/cell
ΔE_f = -0.4 eV per formula unit
Energy above the most stable polymorph in this dataset = 0 meV/atom

a = 18.546 Å, b = 5.585 Å, c = 8.041 Å
α = 90.00°, β = 109.28°, γ = 90.00°
Space group C2/m (No. 12)
Symmetry-distinct sites (fractional):
Cs (0.127, 0.000, 0.180) (multiplicity 4)
In (0.051, 0.000, 0.683) (multiplicity 4)
In (0.154, 0.500, 0.501) (multiplicity 4)
In (0.184, 0.500, 0.904) (multiplicity 4)
Sn (0.012, 0.500, 0.817) (multiplicity 4)
Sn (0.215, 0.000, 0.706) (multiplicity 4)



No. 4
Below is CsIn3Sn3 after structural relaxation, with properties calculated at the PBE level.

Size of the total moment = 0.00 μB/cell
ΔE_f = 0.4 eV per formula unit
Energy above the most stable polymorph in this dataset = 101 meV/atom

a = 11.657 Å, b = 4.340 Å, c = 11.658 Å
α = 90.00°, β = 119.93°, γ = 90.00°
Space group P2_1/m (No. 11)
Symmetry-distinct sites (fractional):
Cs (0.167, 0.250, 0.333) (multiplicity 2)
In (0.195, 0.250, 0.790) (multiplicity 2)
In (0.291, 0.750, 0.095) (multiplicity 2)
In (0.405, 0.750, 0.695) (multiplicity 2)
Sn (0.063, 0.250, 0.963) (multiplicity 2)
Sn (0.099, 0.750, 0.563) (multiplicity 2)
Sn (0.463, 0.750, 0.401) (multiplicity 2)



No. 5
Below is Cs2In3Sn5 after structural relaxation, with properties calculated at the PBE level.

Size of the total moment = 0.00 μB/cell
ΔE_f = -1.6 eV per formula unit

a = 11.837 Å, b = 15.266 Å, c = 7.584 Å
α = 90.00°, β = 90.00°, γ = 90.00°
Space group Ibam (No. 72)
Symmetry-distinct sites (fractional):
Cs (0.249, 0.125, 0.000) (multiplicity 8)
In (0.000, 0.000, 0.250) (multiplicity 4)
In (0.124, 0.375, 0.000) (multiplicity 8)
Sn (0.000, 0.250, 0.250) (multiplicity 8)
Sn (0.000, 0.500, 0.250) (multiplicity 4)
Sn (0.124, 0.125, 0.500) (multiplicity 8)



No. 6
Below is CsIn6Sn after structural relaxation, with properties calculated at the PBE level.

Size of the total moment = 0.00 μB/cell
ΔE_f = -0.6 eV per formula unit

a = 5.392 Å, b = 5.392 Å, c = 8.945 Å
α = 90.00°, β = 90.00°, γ = 90.00°
Space group P4/mmm (No. 123)
Symmetry-distinct sites (fractional):
Cs (0.000, 0.000, 0.000) (multiplicity 1)
In (0.000, 0.500, 0.324) (multiplicity 4)
In (0.500, 0.500, 0.166) (multiplicity 2)
Sn (0.000, 0.000, 0.500) (multiplicity 1)



No. 7
Below is Cs2InSn after structural relaxation, with properties calculated at the PBE level.

Size of the total moment = 3.86 μB/cell
ΔE_f = 0.7 eV per formula unit
Energy above the most stable polymorph in this dataset = 339 meV/atom

a = 9.046 Å, b = 9.046 Å, c = 9.046 Å
α = 90.00°, β = 90.00°, γ = 90.00°
Space group Fm-3m (No. 225)
Symmetry-distinct sites (fractional):
Cs (0.250, 0.250, 0.250) (multiplicity 8)
In (0.000, 0.000, 0.000) (multiplicity 4)
Sn (0.000, 0.000, 0.500) (multiplicity 4)



No. 8
Below is CsInSn after structural relaxation, with properties calculated at the PBE level.

Size of the total moment = 0.00 μB/cell
ΔE_f = -0.1 eV per formula unit

a = 6.180 Å, b = 13.423 Å, c = 6.206 Å
α = 90.00°, β = 90.00°, γ = 90.00°
Space group Imma (No. 74)
Symmetry-distinct sites (fractional):
Cs (0.000, 0.000, 0.000) (multiplicity 4)
In (0.250, 0.250, 0.250) (multiplicity 4)
Sn (0.000, 0.250, 0.667) (multiplicity 4)



No. 9
Below is Cs3In2Sn5 after structural relaxation, with properties calculated at the PBE level.

Size of the total moment = 0.00 μB/cell
ΔE_f = -0.9 eV per formula unit

a = 11.510 Å, b = 16.722 Å, c = 8.046 Å
α = 90.00°, β = 90.00°, γ = 90.00°
Space group Ibam (No. 72)
Symmetry-distinct sites (fractional):
Cs (0.000, 0.000, 0.250) (multiplicity 4)
Cs (0.245, 0.374, 0.000) (multiplicity 8)
In (0.127, 0.163, 0.000) (multiplicity 8)
Sn (0.000, 0.262, 0.250) (multiplicity 8)
Sn (0.000, 0.500, 0.250) (multiplicity 4)
Sn (0.117, 0.377, 0.500) (multiplicity 8)



No. 10
Below is CsIn4Sn after structural relaxation, with properties calculated at the PBE level.

Size of the total moment = 0.00 μB/cell
ΔE_f = -0.5 eV per formula unit
Energy above the most stable polymorph in this dataset = 0 meV/atom

a = 12.428 Å, b = 7.776 Å, c = 8.617 Å
α = 90.00°, β = 106.04°, γ = 90.00°
Space group C2/m (No. 12)
Symmetry-distinct sites (fractional):
Cs (0.190, 0.000, 0.290) (multiplicity 4)
In (0.000, 0.255, 0.500) (multiplicity 4)
In (0.103, 0.303, 0.936) (multiplicity 8)
In (0.164, 0.000, 0.749) (multiplicity 4)
Sn (0.098, 0.500, 0.292) (multiplicity 4)



No. 11
Below is CsInSn after structural relaxation, with properties calculated at the PBE level.

Size of the total moment = 0.00 μB/cell
ΔE_f = -0.6 eV per formula unit

a = 9.401 Å, b = 5.392 Å, c = 8.557 Å
α = 90.00°, β = 90.00°, γ = 90.00°
Space group Pnma (No. 62)
Symmetry-distinct sites (fractional):
Cs (0.001, 0.250, 0.162) (multiplicity 4)
In (0.160, 0.750, 0.410) (multiplicity 4)
Sn (0.166, 0.250, 0.596) (multiplicity 4)



No. 12
Below is CsIn3Sn2 after structural relaxation, with properties calculated at the PBE level.

Size of the total moment = 0.00 μB/cell
ΔE_f = -0.1 eV per formula unit
Energy above the most stable polymorph in this dataset = 58 meV/atom

a = 6.7553 Å, b = 6.7553 Å, c = 5.0758 Å
α = 90.00°, β = 90.00°, γ = 120.00°
Space group P6/mmm (No. 191)
Symmetry-distinct sites (fractional):
Cs (0.0000, 0.0000, 0.0000) (multiplicity 1)
In (0.0000, 0.5000, 0.5000) (multiplicity 3)
Sn (0.3333, 0.6667, 0.0000) (multiplicity 2)



No. 13
Below is CsIn3Sn3 after structural relaxation, with properties calculated at the PBE level.

Size of the total moment = 0.00 μB/cell
ΔE_f = -0.4 eV per formula unit
Energy above the most stable polymorph in this dataset = 0 meV/atom

a = 8.195 Å, b = 8.195 Å, c = 8.195 Å
α = 90.00°, β = 90.00°, γ = 90.00°
Space group Pm-3n (No. 223)
Symmetry-distinct sites (fractional):
Cs (0.000, 0.000, 0.000) (multiplicity 2)
In (0.000, 0.250, 0.500) (multiplicity 6)
Sn (0.000, 0.500, 0.250) (multiplicity 6)



No. 14
Below is CsIn4Sn after structural relaxation, with properties calculated at the PBE level.

Size of the total moment = 0.00 μB/cell
ΔE_f = -0.4 eV per formula unit
Energy above the most stable polymorph in this dataset = 19 meV/atom

a = 5.2890 Å, b = 5.2890 Å, c = 8.7414 Å
α = 90.00°, β = 90.00°, γ = 120.00°
Space group P6/mmm (No. 191)
Symmetry-distinct sites (fractional):
Cs (0.0000, 0.0000, 0.0000) (multiplicity 1)
In (0.3333, 0.6667, 0.3179) (multiplicity 4)
Sn (0.0000, 0.0000, 0.5000) (multiplicity 1)



No. 15
Below is Cs2In5Sn4 after structural relaxation, with properties calculated at the PBE level.

Size of the total moment = 0.00 μB/cell
ΔE_f = -0.7 eV per formula unit

a = 7.349 Å, b = 11.966 Å, c = 17.546 Å
α = 90.00°, β = 90.00°, γ = 90.00°
Space group Fmmm (No. 69)
Symmetry-distinct sites (fractional):
Cs (0.000, 0.000, 0.135) (multiplicity 8)
In (0.000, 0.000, 0.500) (multiplicity 4)
In (0.250, 0.250, 0.000) (multiplicity 8)
In (0.250, 0.250, 0.250) (multiplicity 8)
Sn (0.000, 0.132, 0.355) (multiplicity 16)



No. 16
Below is CsIn2Sn4 after structural relaxation, with properties calculated at the PBE level.

Size of the total moment = 0.00 μB/cell
ΔE_f = -0.5 eV per formula unit

a = 5.4040 Å, b = 5.4040 Å, c = 28.8281 Å
α = 90.00°, β = 90.00°, γ = 120.00°
Space group R-3m (No. 166, hexagonal axes)
Symmetry-distinct sites (fractional):
Cs (0.0000, 0.0000, 0.0000) (multiplicity 3)
In (0.0000, 0.0000, 0.2483) (multiplicity 6)
Sn (0.0000, 0.0000, 0.1419) (multiplicity 6)
Sn (0.0000, 0.0000, 0.4465) (multiplicity 6)



No. 17
Below is Cs2In5Sn3 after structural relaxation, with properties calculated at the PBE level.

Size of the total moment = 0.00 μB/cell
ΔE_f = -1.7 eV per formula unit
Energy above the most stable polymorph in this dataset = 0 meV/atom

a = 12.144 Å, b = 15.110 Å, c = 7.425 Å
α = 90.00°, β = 90.00°, γ = 90.00°
Space group Ibam (No. 72)
Symmetry-distinct sites (fractional):
Cs (0.247, 0.126, 0.000) (multiplicity 8)
In (0.000, 0.255, 0.250) (multiplicity 8)
In (0.000, 0.500, 0.250) (multiplicity 4)
In (0.124, 0.125, 0.500) (multiplicity 8)
Sn (0.000, 0.000, 0.250) (multiplicity 4)
Sn (0.130, 0.378, 0.000) (multiplicity 8)



No. 18
Below is Cs2InSn after structural relaxation, with properties calculated at the PBE level.

Size of the total moment = 0.00 μB/cell
ΔE_f = 0.1 eV per formula unit
Energy above the most stable polymorph in this dataset = 192 meV/atom

a = 14.568 Å, b = 14.568 Å, c = 5.754 Å
α = 90.00°, β = 90.00°, γ = 90.00°
Space group I-42d (No. 122)
Symmetry-distinct sites (fractional):
Cs (0.049, 0.250, 0.125) (multiplicity 8)
In (0.000, 0.000, 0.000) (multiplicity 4)
Sn (0.000, 0.000, 0.500) (multiplicity 4)



No. 19
Below is CsIn6Sn6 after structural relaxation, with properties calculated at the PBE level.

Size of the total moment = 0.00 μB/cell
ΔE_f = 1.5 eV per formula unit

a = 8.195 Å, b = 8.195 Å, c = 8.195 Å
α = 90.00°, β = 90.00°, γ = 90.00°
Space group Pm-3 (No. 200)
Symmetry-distinct sites (fractional):
Cs (0.000, 0.000, 0.000) (multiplicity 1)
In (0.000, 0.500, 0.252) (multiplicity 6)
Sn (0.000, 0.248, 0.500) (multiplicity 6)



No. 20
Below is CsInSn3 after structural relaxation, with properties calculated at the PBE level.

Size of the total moment = 0.00 μB/cell
ΔE_f = -0.8 eV per formula unit
Energy above the most stable polymorph in this dataset = 0 meV/atom

a = 5.414 Å, b = 5.414 Å, c = 11.704 Å
α = 90.00°, β = 90.00°, γ = 90.00°
Space group I4mm (No. 107)
Symmetry-distinct sites (fractional):
Cs (0.000, 0.000, 0.000) (multiplicity 2)
In (0.000, 0.000, 0.629) (multiplicity 2)
Sn (0.000, 0.000, 0.374) (multiplicity 2)
Sn (0.000, 0.500, 0.251) (multiplicity 4)



No. 21
Below is CsIn2Sn after structural relaxation, with properties calculated at the PBE level.

Size of the total moment = 0.00 μB/cell
ΔE_f = -0.4 eV per formula unit

a = 4.8821 Å, b = 4.8821 Å, c = 23.3378 Å
α = 90.00°, β = 90.00°, γ = 120.00°
Space group R-3m (No. 166, hexagonal axes)
Symmetry-distinct sites (fractional):
Cs (0.0000, 0.0000, 0.0000) (multiplicity 3)
In (0.0000, 0.0000, 0.2188) (multiplicity 6)
Sn (0.0000, 0.0000, 0.5000) (multiplicity 3)



No. 22
Below is CsInSn after structural relaxation, with properties calculated at the PBE level.

Size of the total moment = 0.00 μB/cell
ΔE_f = -0.7 eV per formula unit

a = 5.013 Å, b = 5.013 Å, c = 9.419 Å
α = 90.00°, β = 90.00°, γ = 90.00°
Space group P4/nmm (No. 129, origin choice 2)
Symmetry-distinct sites (fractional):
Cs (0.250, 0.250, 0.158) (multiplicity 2)
In (0.250, 0.750, 0.500) (multiplicity 2)
Sn (0.250, 0.250, 0.690) (multiplicity 2)